# PBE-GGA Sm6HoMg, relaxed
data_Sm6HoMg
_cell_length_a 5.025
_cell_length_b 5.025
_cell_length_c 10.149
_cell_angle_alpha 90.00
_cell_angle_beta 90.00
_cell_angle_gamma 90.00
_symmetry_space_group_name_H-M 'P 4/m m m'
_symmetry_Int_Tables_number 123
_symmetry_space_group_name_Hall '-P 4 2'
loop_
_atom_site_label
_atom_site_fract_x
_atom_site_fract_y
_atom_site_fract_z
Sm1 0.000 0.000 0.000
Sm2 0.000 0.000 0.500
Sm3 0.000 0.500 0.248
Ho1 0.500 0.500 0.500
Mg1 0.500 0.500 0.000
# Relative energy among the computed polymorphs: 0.00 eV per formula unit
# Calculated formation energy: 10 meV/atom